Here is a geometry-optimized BaSi2Ni structure from Alexandria. Energies are from PBE-GGA.

The structure in CIF format:
```
data_BaSi2Ni
_chemical_formula_sum 'Ba2 Si4 Ni2'
_cell_length_a 3.9902
_cell_length_b 6.4552
_cell_length_c 6.5401
_cell_angle_alpha 90.00
_cell_angle_beta 90.00
_cell_angle_gamma 90.00
_space_group_name_H-M_alt 'P m m n'
_space_group_IT_number 59
loop_
_space_group_symop_operation_xyz
'x,y,z'
'-x,-y,-z'
'-x+1/2,-y+1/2,z'
'x+1/2,y+1/2,-z'
'x+1/2,-y,-z'
'-x+1/2,y,z'
'-x,y+1/2,-z'
'x,-y+1/2,z'
loop_
_atom_site_label
_atom_site_type_symbol
_atom_site_fract_x
_atom_site_fract_y
_atom_site_fract_z
Ba1 Ba 0.2500 0.2500 0.1144
Si1 Si 0.2500 0.0543 0.6232
Ni1 Ni 0.2500 0.7500 0.4229
```

Output
ΔE_f (raw): -50 kJ per mole of atoms